(1)
ZnSb2P | PBE | optimized geometry

Output
As for the energy relative to the elements, uncorrected: 0.368 eV/atom. The calculation puts the energy above the most stable polymorph in this dataset at 275 meV per atom. The density of states at the Fermi level comes out at 1.9 states/eV/f.u. The crystal system is tetragonal. The total moment comes out at 0.00 μB/f.u.

Cell: 3.9651 3.9651 11.4617 Å, 90.00 90.00 90.00°
Space group I-4m2 (No. 119)
One atom of each set of equivalent atoms:
Zn 0.0000 0.0000 0.0000
Sb 0.0000 0.0000 0.5000
Sb 0.0000 0.5000 0.2500
P 0.0000 0.5000 0.7500

(2)
TbY7Tm2 | PBE | optimized geometry

Output
The calculation puts the energy above the most stable polymorph in this dataset at 0 meV per atom. The density of states at the Fermi level comes out at 18.5 states/eV/f.u. The crystal system is orthorhombic. The total moment comes out at 0.00 μB/f.u.

Cell: 6.4308 29.2751 3.4550 Å, 90.00 90.00 90.00°
Space group Cmmm (No. 65)
One atom of each set of equivalent atoms:
Tb 0.0000 0.0000 0.0000
Y 0.0000 0.3103 0.0000
Y 0.0000 0.5000 0.5000
Y 0.2433 0.1001 0.5000
Tm 0.0000 0.2079 0.5000

(3)
CSe2Br | PBE | optimized geometry

Output
As for the energy relative to the elements, uncorrected: 0.908 eV/atom. The calculation puts the energy above the most stable polymorph in this dataset at 295 meV per atom. The density of states at the Fermi level comes out at 2.4 states/eV/f.u. The crystal system is tetragonal. The total moment comes out at 0.00 μB/f.u.

Cell: 6.5369 6.5369 7.8021 Å, 90.00 90.00 90.00°
Space group I-42d (No. 122)
One atom of each set of equivalent atoms:
C 0.0000 0.0000 0.0000
Se 0.1304 0.2500 0.1250
Br 0.0000 0.0000 0.5000

(4)
PrNd6Sc | PBE | optimized geometry

Output
The calculation puts the energy above the most stable polymorph in this dataset at 329 meV per atom. The density of states at the Fermi level comes out at 14.2 states/eV/f.u. The crystal system is monoclinic. The total moment comes out at 0.00 μB/f.u.

Cell: 9.1485 7.2227 9.3357 Å, 90.00 105.68 90.00°
Space group C2/m (No. 12)
One atom of each set of equivalent atoms:
Pr 0.0000 0.0000 0.0000
Nd 0.1343 0.0000 0.4260
Nd 0.2011 0.2428 0.7922
Sc 0.0000 0.5000 0.5000